# LiLaY2 (GGA-PBE, optimized geometry)
data_LiLaY2
_chemical_formula_sum 'Li1 La1 Y2'
_space_group_name_H-M_alt 'P 1'
_space_group_IT_number 1
_space_group_name_Hall 'P 1'
_cell_length_a 6.7326
_cell_length_b 6.7326
_cell_length_c 3.4738
_cell_angle_alpha 78.18
_cell_angle_beta 78.18
_cell_angle_gamma 118.99
loop_
_atom_site_label
_atom_site_type_symbol
_atom_site_fract_x
_atom_site_fract_y
_atom_site_fract_z
_atom_site_occupancy
La1 La 0.5000 0.0000 0.5000 1
Li1 Li 0.0000 0.5000 0.5000 1
Y1 Y 0.0000 0.0000 0.0000 1
Y2 Y 0.5000 0.5000 0.0000 1
# size of the total moment: 0.00 μB per formula unit
# uncorrected energy: -4.76 eV/atom
# formation enthalpy at 0 K: 184.2 meV/atom
# space group: C2/m (12)
# excess energy over the best structure of this formula in the dataset: 0.46 eV per formula unit



# ZrTaGe (GGA-PBE, optimized geometry)
data_ZrTaGe
_chemical_formula_sum 'Zr2 Ta2 Ge2'
_space_group_name_H-M_alt 'P 1'
_space_group_IT_number 1
_space_group_name_Hall 'P 1'
_cell_length_a 3.6589
_cell_length_b 3.6589
_cell_length_c 10.8963
_cell_angle_alpha 80.33
_cell_angle_beta 80.33
_cell_angle_gamma 60.00
loop_
_atom_site_label
_atom_site_type_symbol
_atom_site_fract_x
_atom_site_fract_y
_atom_site_fract_z
_atom_site_occupancy
Ge1 Ge 0.0900 0.0900 0.7301 1
Ge2 Ge 0.9100 0.9100 0.2699 1
Zr1 Zr 0.6287 0.6287 0.1138 1
Zr2 Zr 0.3713 0.3713 0.8862 1
Ta1 Ta 0.1958 0.1958 0.4126 1
Ta2 Ta 0.8042 0.8042 0.5874 1
# size of the total moment: 0.00 μB per formula unit
# uncorrected energy: -8.36 eV/atom
# formation enthalpy at 0 K: -24.4 meV/atom
# space group: R-3m (166)